BaInIr2 | PBE-GGA | optimized geometry

Cell lengths 9.5570, 9.5570, 9.5570 Å; angles 19.50, 19.50, 19.50 degrees
Closest atoms and distances in Å follow each position.
Positions (direct):
Ba (0.2500, 0.2500, 0.2500)  6 Ba 3.24, 6 Ir 3.25
In (0.7500, 0.7500, 0.7500)  6 Ir 2.75
Ir (0.0114, 0.0114, 0.0114)  3 In 2.75
Ir (0.4886, 0.4886, 0.4886)  3 In 2.75

- Size of the total moment: 0.0 Bohr magnetons per cell
- Formation energy: 0.5599 eV per atom
- Total DFT energy (no corrections): -20.14 eV/f.u.
- Symmetry: No. 166